Entry 1:
Entry from OQMD: an optimized crystal structure of Pr2Ge (PBE).

a b c (Å): 8.289 8.289 4.326
angles (deg): 90.00 90.00 120.00
Atoms (fractional coordinates):
Pr (0.000, 0.410, 0.000)
Pr (0.000, 0.734, 0.500)
Pr (0.266, 0.266, 0.500)
Pr (0.410, 0.000, 0.000)
Pr (0.590, 0.590, 0.000)
Pr (0.734, 0.000, 0.500)
Ge (0.000, 0.000, 0.000)
Ge (0.333, 0.667, 0.500)
Ge (0.667, 0.333, 0.500)

SG = P-62m
magnetization = 0.42 μB per formula unit

Entry 2:
Entry from OQMD: an optimized crystal structure of PrGe2 (PBE).

a b c (Å): 8.530 8.530 4.220
angles (deg): 90.00 90.00 152.28
Atoms (fractional coordinates):
Pr (0.140, 0.860, 0.000)
Pr (0.860, 0.140, 0.000)
Ge (0.000, 0.000, 0.500)
Ge (0.298, 0.702, 0.500)
Ge (0.500, 0.500, 0.000)
Ge (0.702, 0.298, 0.500)

SG = Cmmm
magnetization = 0.00 μB per formula unit

Entry 3:
Entry from OQMD: an optimized crystal structure of Pr5Ge4 (PBE).

a b c (Å): 8.003 15.341 8.091
angles (deg): 90.00 90.00 90.00
Atoms (fractional coordinates):
Pr (0.025, 0.103, 0.179)
Pr (0.025, 0.397, 0.179)
Pr (0.120, 0.614, 0.339)
Pr (0.120, 0.886, 0.339)
Pr (0.214, 0.250, 0.502)
Pr (0.286, 0.750, 0.002)
Pr (0.380, 0.114, 0.839)
Pr (0.380, 0.386, 0.839)
Pr (0.475, 0.603, 0.679)
Pr (0.475, 0.897, 0.679)
Pr (0.525, 0.103, 0.321)
Pr (0.525, 0.397, 0.321)
Pr (0.620, 0.614, 0.161)
Pr (0.620, 0.886, 0.161)
Pr (0.714, 0.250, 0.998)
Pr (0.786, 0.750, 0.498)
Pr (0.880, 0.114, 0.661)
Pr (0.880, 0.386, 0.661)
Pr (0.975, 0.603, 0.821)
Pr (0.975, 0.897, 0.821)
Ge (0.089, 0.250, 0.892)
Ge (0.175, 0.750, 0.631)
Ge (0.222, 0.045, 0.531)
Ge (0.222, 0.455, 0.531)
Ge (0.278, 0.545, 0.031)
Ge (0.278, 0.955, 0.031)
Ge (0.325, 0.250, 0.131)
Ge (0.411, 0.750, 0.392)
Ge (0.589, 0.250, 0.608)
Ge (0.675, 0.750, 0.869)
Ge (0.722, 0.045, 0.969)
Ge (0.722, 0.455, 0.969)
Ge (0.778, 0.545, 0.469)
Ge (0.778, 0.955, 0.469)
Ge (0.825, 0.250, 0.369)
Ge (0.911, 0.750, 0.108)

SG = Pnma
magnetization = 0.17 μB per formula unit

Entry 4:
Entry from OQMD: an optimized crystal structure of Pr2Ge (PBE).

a b c (Å): 6.308 6.308 6.308
angles (deg): 60.00 60.00 60.00
Atoms (fractional coordinates):
Pr (0.000, 0.000, 0.000)
Pr (0.000, 0.000, 0.500)
Pr (0.000, 0.500, 0.000)
Pr (0.500, 0.000, 0.000)
Ge (0.375, 0.375, 0.375)
Ge (0.625, 0.625, 0.625)

SG = Fd-3m
magnetization = 0.00 μB per formula unit

Entry 5:
Entry from OQMD: an optimized crystal structure of PrGe2 (PBE).

a b c (Å): 9.539 9.539 9.539
angles (deg): 60.00 60.00 60.00
Atoms (fractional coordinates):
Pr (0.125, 0.125, 0.125)
Pr (0.875, 0.875, 0.875)
Ge (0.000, 0.000, 0.000)
Ge (0.000, 0.000, 0.500)
Ge (0.000, 0.500, 0.000)
Ge (0.500, 0.000, 0.000)

SG = Fd-3m
magnetization = 2.07 μB per formula unit

Entry 6:
Entry from OQMD: an optimized crystal structure of PrGe (PBE).

a b c (Å): 3.777 3.777 4.427
angles (deg): 90.00 90.00 120.00
Atoms (fractional coordinates):
Pr (0.000, 0.000, 0.000)
Ge (0.333, 0.667, 0.500)

SG = P-6m2
magnetization = 0.01 μB per formula unit

Entry 7:
Entry from OQMD: an optimized crystal structure of PrGe2 (PBE).

a b c (Å): 8.566 8.566 8.566
angles (deg): 151.52 151.52 40.72
Atoms (fractional coordinates):
Pr (0.375, 0.625, 0.750)
Pr (0.625, 0.375, 0.250)
Ge (0.044, 0.794, 0.250)
Ge (0.206, 0.956, 0.250)
Ge (0.794, 0.044, 0.750)
Ge (0.956, 0.206, 0.750)

SG = I4_1/amd
magnetization = 0.01 μB per formula unit

Entry 8:
Entry from OQMD: an optimized crystal structure of PrGe (PBE).

a b c (Å): 6.034 6.034 4.094
angles (deg): 90.00 90.00 136.01
Atoms (fractional coordinates):
Pr (0.139, 0.861, 0.750)
Pr (0.861, 0.139, 0.250)
Ge (0.420, 0.580, 0.750)
Ge (0.580, 0.420, 0.250)

SG = Cmcm
magnetization = 0.01 μB per formula unit

Entry 9:
Entry from OQMD: an optimized crystal structure of PrGe (PBE).

a b c (Å): 4.746 4.746 4.746
angles (deg): 60.00 60.00 60.00
Atoms (fractional coordinates):
Pr (0.000, 0.000, 0.000)
Ge (0.250, 0.250, 0.250)

SG = F-43m
magnetization = 0.00 μB per formula unit

Entry 10:
Entry from OQMD: an optimized crystal structure of Pr3Ge5 (PBE).

a b c (Å): 6.211 6.211 9.879
angles (deg): 90.00 90.00 77.22
Atoms (fractional coordinates):
Pr (0.147, 0.853, 0.750)
Pr (0.297, 0.297, 0.000)
Pr (0.297, 0.297, 0.500)
Pr (0.703, 0.703, 0.000)
Pr (0.703, 0.703, 0.500)
Pr (0.853, 0.147, 0.250)
Ge (0.017, 0.583, 0.250)
Ge (0.180, 0.820, 0.057)
Ge (0.180, 0.820, 0.443)
Ge (0.417, 0.983, 0.250)
Ge (0.457, 0.543, 0.250)
Ge (0.543, 0.457, 0.750)
Ge (0.583, 0.017, 0.750)
Ge (0.820, 0.180, 0.557)
Ge (0.820, 0.180, 0.943)
Ge (0.983, 0.417, 0.750)

SG = Cmcm
magnetization = 0.00 μB per formula unit

Entry 11:
Entry from OQMD: an optimized crystal structure of Pr4Ge3Pt (PBE).

a b c (Å): 6.037 4.206 8.190
angles (deg): 90.00 91.01 90.00
Atoms (fractional coordinates):
Pr (0.000, 0.000, 0.000)
Pr (0.240, 0.000, 0.466)
Pr (0.492, 0.500, 0.846)
Pr (0.749, 0.500, 0.339)
Ge (0.003, 0.500, 0.705)
Ge (0.509, 0.000, 0.123)
Ge (0.736, 0.000, 0.626)
Pt (0.232, 0.500, 0.203)

SG = Pm
magnetization = 0.01 μB per formula unit

Entry 12:
Entry from OQMD: an optimized crystal structure of Pr3Ge4Pt (PBE).

a b c (Å): 6.831 4.234 7.041
angles (deg): 90.00 99.57 90.00
Atoms (fractional coordinates):
Pr (0.000, 0.000, 0.000)
Pr (0.033, 0.000, 0.532)
Pr (0.473, 0.500, 0.376)
Ge (0.273, 0.500, 0.785)
Ge (0.457, 0.000, 0.018)
Ge (0.631, 0.000, 0.684)
Ge (0.879, 0.500, 0.250)
Pt (0.643, 0.500, 0.910)

SG = Pm
magnetization = 0.01 μB per formula unit

Entry 13:
Entry from OQMD: an optimized crystal structure of PrGePt (PBE).

a b c (Å): 4.492 14.779 7.710
angles (deg): 90.00 90.00 90.00
Atoms (fractional coordinates):
Pr (0.250, 0.003, 0.208)
Pr (0.250, 0.250, 0.296)
Pr (0.250, 0.497, 0.208)
Pr (0.250, 0.750, 0.292)
Pr (0.750, 0.250, 0.708)
Pr (0.750, 0.503, 0.792)
Pr (0.750, 0.750, 0.704)
Pr (0.750, 0.997, 0.792)
Ge (0.250, 0.100, 0.589)
Ge (0.250, 0.400, 0.589)
Ge (0.250, 0.656, 0.912)
Ge (0.250, 0.844, 0.912)
Ge (0.750, 0.156, 0.088)
Ge (0.750, 0.344, 0.088)
Ge (0.750, 0.600, 0.411)
Ge (0.750, 0.900, 0.411)
Pt (0.250, 0.141, 0.920)
Pt (0.250, 0.359, 0.920)
Pt (0.250, 0.598, 0.583)
Pt (0.250, 0.902, 0.583)
Pt (0.750, 0.098, 0.417)
Pt (0.750, 0.402, 0.417)
Pt (0.750, 0.641, 0.080)
Pt (0.750, 0.859, 0.080)

SG = Pmmn
magnetization = 0.00 μB per formula unit

Entry 14:
Entry from OQMD: an optimized crystal structure of PrGe4Pt3 (PBE).

a b c (Å): 6.119 3.946 6.623
angles (deg): 90.00 100.36 90.00
Atoms (fractional coordinates):
Pr (0.000, 0.000, 0.000)
Ge (0.021, 0.500, 0.670)
Ge (0.285, 0.500, 0.302)
Ge (0.483, 0.000, 0.833)
Ge (0.739, 0.000, 0.377)
Pt (0.186, 0.000, 0.519)
Pt (0.561, 0.500, 0.063)
Pt (0.605, 0.500, 0.603)

SG = Pm
magnetization = 0.00 μB per formula unit

Entry 15:
Entry from OQMD: an optimized crystal structure of Pr3Ge6Pt4 (PBE).

a b c (Å): 26.471 4.462 8.920
angles (deg): 90.00 90.00 90.00
Atoms (fractional coordinates):
Pr (0.092, 0.250, 0.116)
Pr (0.092, 0.250, 0.632)
Pr (0.220, 0.250, 0.875)
Pr (0.280, 0.750, 0.375)
Pr (0.408, 0.750, 0.132)
Pr (0.408, 0.750, 0.616)
Pr (0.592, 0.250, 0.384)
Pr (0.592, 0.250, 0.868)
Pr (0.720, 0.250, 0.625)
Pr (0.780, 0.750, 0.125)
Pr (0.908, 0.750, 0.368)
Pr (0.908, 0.750, 0.884)
Ge (0.001, 0.250, 0.377)
Ge (0.002, 0.750, 0.128)
Ge (0.138, 0.750, 0.874)
Ge (0.141, 0.750, 0.374)
Ge (0.215, 0.250, 0.227)
Ge (0.215, 0.250, 0.523)
Ge (0.285, 0.750, 0.023)
Ge (0.285, 0.750, 0.727)
Ge (0.359, 0.250, 0.874)
Ge (0.362, 0.250, 0.374)
Ge (0.498, 0.250, 0.628)
Ge (0.499, 0.750, 0.877)
Ge (0.501, 0.250, 0.123)
Ge (0.502, 0.750, 0.372)
Ge (0.638, 0.750, 0.626)
Ge (0.641, 0.750, 0.126)
Ge (0.715, 0.250, 0.273)
Ge (0.715, 0.250, 0.977)
Ge (0.785, 0.750, 0.477)
Ge (0.785, 0.750, 0.773)
Ge (0.859, 0.250, 0.626)
Ge (0.862, 0.250, 0.126)
Ge (0.998, 0.250, 0.872)
Ge (0.999, 0.750, 0.623)
Pt (0.044, 0.750, 0.872)
Pt (0.048, 0.750, 0.378)
Pt (0.187, 0.750, 0.624)
Pt (0.188, 0.750, 0.124)
Pt (0.312, 0.250, 0.624)
Pt (0.313, 0.250, 0.124)
Pt (0.452, 0.250, 0.878)
Pt (0.456, 0.250, 0.372)
Pt (0.544, 0.750, 0.628)
Pt (0.548, 0.750, 0.122)
Pt (0.687, 0.750, 0.876)
Pt (0.688, 0.750, 0.376)
Pt (0.812, 0.250, 0.876)
Pt (0.813, 0.250, 0.376)
Pt (0.952, 0.250, 0.622)
Pt (0.956, 0.250, 0.128)

SG = Pnma
magnetization = 0.00 μB per formula unit

Entry 16:
Entry from OQMD: an optimized crystal structure of Pr3Ge4Pt2 (PBE).

a b c (Å): 6.059 6.059 8.525
angles (deg): 100.99 100.99 42.15
Atoms (fractional coordinates):
Pr (0.000, 0.000, 0.000)
Pr (0.335, 0.335, 0.338)
Pr (0.665, 0.665, 0.662)
Ge (0.056, 0.056, 0.386)
Ge (0.271, 0.271, 0.929)
Ge (0.729, 0.729, 0.071)
Ge (0.944, 0.944, 0.614)
Pt (0.395, 0.395, 0.723)
Pt (0.605, 0.605, 0.277)

SG = C2/m
magnetization = 0.01 μB per formula unit

Entry 17:
Entry from OQMD: an optimized crystal structure of Pr2GePt8 (PBE).

a b c (Å): 4.313 9.327 9.327
angles (deg): 145.63 90.00 90.00
Atoms (fractional coordinates):
Pr (0.000, 0.124, 0.876)
Pr (0.000, 0.876, 0.124)
Ge (0.500, 0.265, 0.265)
Pt (0.000, 0.302, 0.707)
Pt (0.000, 0.505, 0.505)
Pt (0.000, 0.707, 0.302)
Pt (0.500, 0.008, 0.509)
Pt (0.500, 0.392, 0.619)
Pt (0.500, 0.509, 0.008)
Pt (0.500, 0.619, 0.392)
Pt (0.500, 0.840, 0.840)

SG = Amm2
magnetization = 0.01 μB per formula unit

Entry 18:
Entry from OQMD: an optimized crystal structure of Pr2Ge5Pt3 (PBE).

a b c (Å): 8.532 8.532 8.532
angles (deg): 105.79 90.36 136.18
Atoms (fractional coordinates):
Pr (0.131, 0.231, 0.362)
Pr (0.369, 0.731, 0.101)
Pr (0.631, 0.269, 0.899)
Pr (0.869, 0.769, 0.638)
Ge (0.021, 0.750, 0.271)
Ge (0.106, 0.653, 0.759)
Ge (0.250, 0.250, 0.000)
Ge (0.394, 0.153, 0.547)
Ge (0.479, 0.750, 0.729)
Ge (0.521, 0.250, 0.271)
Ge (0.606, 0.847, 0.453)
Ge (0.750, 0.750, 0.000)
Ge (0.894, 0.347, 0.241)
Ge (0.979, 0.250, 0.729)
Pt (0.137, 0.890, 0.027)
Pt (0.250, 0.750, 0.500)
Pt (0.363, 0.390, 0.752)
Pt (0.637, 0.610, 0.248)
Pt (0.750, 0.250, 0.500)
Pt (0.863, 0.110, 0.973)

SG = Ibam
magnetization = 0.00 μB per formula unit

Entry 19:
Entry from OQMD: an optimized crystal structure of PrSiGe3Pt6 (PBE).

a b c (Å): 7.298 7.298 4.038
angles (deg): 90.00 90.00 120.00
Atoms (fractional coordinates):
Pr (0.000, 0.000, 0.000)
Si (0.333, 0.667, 0.000)
Ge (0.385, 0.192, 0.500)
Ge (0.808, 0.192, 0.500)
Ge (0.808, 0.615, 0.500)
Pt (0.199, 0.399, 0.500)
Pt (0.199, 0.801, 0.500)
Pt (0.531, 0.062, 0.000)
Pt (0.531, 0.469, 0.000)
Pt (0.601, 0.801, 0.500)
Pt (0.938, 0.469, 0.000)

SG = P-6m2
magnetization = 0.00 μB per formula unit

Entry 20:
Entry from OQMD: an optimized crystal structure of Pr3Zn2Ge4Pt2 (PBE).

a b c (Å): 13.249 13.249 13.249
angles (deg): 161.92 161.11 26.27
Atoms (fractional coordinates):
Pr (0.000, 0.000, 0.000)
Pr (0.355, 0.855, 0.500)
Pr (0.645, 0.145, 0.500)
Zn (0.251, 0.251, 0.000)
Zn (0.749, 0.749, 0.000)
Ge (0.191, 0.691, 0.500)
Ge (0.451, 0.451, 0.000)
Ge (0.549, 0.549, 0.000)
Ge (0.809, 0.309, 0.500)
Pt (0.095, 0.595, 0.500)
Pt (0.905, 0.405, 0.500)

SG = Immm
magnetization = 0.01 μB per formula unit

VASP energy per entry: -5.32; -5.26; -5.50; -4.46; -3.30; -5.09; -5.30; -5.54; -4.66; -5.38; -5.76; -5.45; -6.22; -5.71; -6.02; -5.95; -6.51; -5.92; -6.20; -5.13 eV/atom